Entry 1:
VASP calculation (PBEsol) on an optimized crystal structure of PrTe.

a = 3.840 Å, b = 3.840 Å, c = 3.840 Å
α = 90.00°, β = 90.00°, γ = 90.00°
Fractional coordinates of all 2 atoms:
Pr (0.000, 0.000, 0.000)
Te (0.500, 0.500, 0.500)

Computed properties:
Its space-group type is No. 221. The value obtained for the total magnetization is 0.00 μB per cell. For the density, the calculation gives 7.87 Mg/m³. Its total energy is -5.76 eV per atom. For the formation energy (no corrections), the calculation gives -1404 meV/atom.

***

Entry 2:
VASP calculation (PBEsol) on an optimized crystal structure of Zr2MnRu.

a = 3.185 Å, b = 4.509 Å, c = 4.509 Å
α = 90.00°, β = 90.00°, γ = 90.00°
Last column: magnetic moment on the atom in μB.
Fractional coordinates of all 4 atoms:
Zr (0.000, 0.000, 0.500)  -0.09
Zr (0.000, 0.500, 0.000)  -0.09
Ru (0.500, 0.000, 0.000)  0.03
Mn (0.500, 0.500, 0.500)  0.61

Computed properties:
Its formation enthalpy at 0 K is -1.29 eV per formula unit. Its space-group type is No. 123. The value obtained for the total magnetization is 0.42 μB per cell. For the density, the calculation gives 8.68 Mg/m³. Its total energy is -9.85 eV per atom.

***

Entry 3:
VASP calculation (PBEsol) on an optimized crystal structure of BaSbP2.

a = 5.193 Å, b = 5.193 Å, c = 5.193 Å
α = 60.00°, β = 60.00°, γ = 60.00°
Fractional coordinates of all 4 atoms:
P (0.750, 0.750, 0.750)
P (0.000, 0.000, 0.000)
Sb (0.250, 0.250, 0.250)
Ba (0.500, 0.500, 0.500)

Computed properties:
Its space-group type is No. 216. The value obtained for the total magnetization is 0.00 μB per cell. For the density, the calculation gives 5.38 Mg/m³. Its total energy is -4.33 eV per atom. For the formation energy (no corrections), the calculation gives 242 meV/atom.